First-principles (PBE) data for a relaxed structure of PaTeSe, as listed in Alexandria via LeMat-Bulk.

```
data_PaTeSe
_symmetry_space_group_name_H-M 'P 1'
_symmetry_Int_Tables_number 1
_cell_length_a 5.057
_cell_length_b 5.057
_cell_length_c 5.057
_cell_angle_alpha 60.00
_cell_angle_beta 60.00
_cell_angle_gamma 60.00
loop_
_symmetry_equiv_pos_as_xyz
'x,y,z'
loop_
_atom_site_label
_atom_site_type_symbol
_atom_site_fract_x
_atom_site_fract_y
_atom_site_fract_z
_atom_site_occupancy
Pa1 Pa 0.000 0.000 0.000 1
Te1 Te 0.750 0.750 0.750 1
Se1 Se 0.250 0.250 0.250 1
```

Calculated volume = 30.49 A^3/atom
Energy above the lowest structure with this stoichiometry = 186 meV/atom

***

First-principles (PBE) data for a relaxed structure of PaTeSe, as listed in Alexandria via LeMat-Bulk.

```
data_PaTeSe
_symmetry_space_group_name_H-M 'P 1'
_symmetry_Int_Tables_number 1
_cell_length_a 4.441
_cell_length_b 4.511
_cell_length_c 8.088
_cell_angle_alpha 90.00
_cell_angle_beta 90.00
_cell_angle_gamma 90.00
loop_
_symmetry_equiv_pos_as_xyz
'x,y,z'
loop_
_atom_site_label
_atom_site_type_symbol
_atom_site_fract_x
_atom_site_fract_y
_atom_site_fract_z
_atom_site_occupancy
Pa1 Pa 0.250 0.250 0.231 1
Pa2 Pa 0.750 0.750 0.769 1
Te1 Te 0.250 0.250 0.630 1
Te2 Te 0.750 0.750 0.370 1
Se1 Se 0.250 0.750 0.003 1
Se2 Se 0.750 0.250 0.997 1
```

Calculated volume = 27.00 A^3/atom
Energy above the lowest structure with this stoichiometry = 65 meV/atom

***

First-principles (PBE) data for a relaxed structure of PaTeSe, as listed in Alexandria via LeMat-Bulk.

```
data_PaTeSe
_symmetry_space_group_name_H-M 'P 1'
_symmetry_Int_Tables_number 1
_cell_length_a 7.843
_cell_length_b 7.843
_cell_length_c 7.118
_cell_angle_alpha 100.04
_cell_angle_beta 100.04
_cell_angle_gamma 29.42
loop_
_symmetry_equiv_pos_as_xyz
'x,y,z'
loop_
_atom_site_label
_atom_site_type_symbol
_atom_site_fract_x
_atom_site_fract_y
_atom_site_fract_z
_atom_site_occupancy
Pa1 Pa 0.002 0.002 0.306 1
Pa2 Pa 0.998 0.998 0.694 1
Te1 Te 0.136 0.136 0.050 1
Te2 Te 0.864 0.864 0.950 1
Se1 Se 0.387 0.387 0.452 1
Se2 Se 0.613 0.613 0.548 1
```

Calculated volume = 35.26 A^3/atom
Energy above the lowest structure with this stoichiometry = 377 meV/atom

***

First-principles (PBE) data for a relaxed structure of PaTeSe3, as listed in Alexandria via LeMat-Bulk.

```
data_PaTeSe3
_symmetry_space_group_name_H-M 'P 1'
_symmetry_Int_Tables_number 1
_cell_length_a 7.217
_cell_length_b 7.226
_cell_length_c 7.806
_cell_angle_alpha 103.28
_cell_angle_beta 90.47
_cell_angle_gamma 117.17
loop_
_symmetry_equiv_pos_as_xyz
'x,y,z'
loop_
_atom_site_label
_atom_site_type_symbol
_atom_site_fract_x
_atom_site_fract_y
_atom_site_fract_z
_atom_site_occupancy
Pa1 Pa 0.184 0.332 0.037 1
Pa2 Pa 0.816 0.668 0.963 1
Te1 Te 0.207 0.585 0.448 1
Te2 Te 0.793 0.415 0.552 1
Se1 Se 0.183 0.952 0.867 1
Se2 Se 0.195 0.751 0.185 1
Se3 Se 0.418 0.513 0.785 1
Se4 Se 0.582 0.487 0.215 1
Se5 Se 0.805 0.249 0.815 1
Se6 Se 0.817 0.048 0.133 1
```

Calculated volume = 34.94 A^3/atom

***

First-principles (PBE) data for a relaxed structure of Pa2TeSe3, as listed in Alexandria via LeMat-Bulk.

```
data_Pa2TeSe3
_symmetry_space_group_name_H-M 'P 1'
_symmetry_Int_Tables_number 1
_cell_length_a 7.825
_cell_length_b 7.825
_cell_length_c 11.092
_cell_angle_alpha 111.65
_cell_angle_beta 111.65
_cell_angle_gamma 35.09
loop_
_symmetry_equiv_pos_as_xyz
'x,y,z'
loop_
_atom_site_label
_atom_site_type_symbol
_atom_site_fract_x
_atom_site_fract_y
_atom_site_fract_z
_atom_site_occupancy
Pa1 Pa 0.013 0.013 0.174 1
Pa2 Pa 0.297 0.297 0.191 1
Pa3 Pa 0.703 0.703 0.809 1
Pa4 Pa 0.987 0.987 0.826 1
Te1 Te 0.367 0.367 0.956 1
Te2 Te 0.633 0.633 0.044 1
Se1 Se 0.124 0.124 0.685 1
Se2 Se 0.201 0.201 0.354 1
Se3 Se 0.482 0.482 0.690 1
Se4 Se 0.518 0.518 0.310 1
Se5 Se 0.799 0.799 0.646 1
Se6 Se 0.876 0.876 0.315 1
```

Calculated volume = 30.00 A^3/atom
Energy above the lowest structure with this stoichiometry = 207 meV/atom

***

First-principles (PBE) data for a relaxed structure of Pa4Te3Se2, as listed in Alexandria via LeMat-Bulk.

```
data_Pa4Te3Se2
_symmetry_space_group_name_H-M 'P 1'
_symmetry_Int_Tables_number 1
_cell_length_a 7.668
_cell_length_b 7.668
_cell_length_c 8.908
_cell_angle_alpha 98.27
_cell_angle_beta 98.27
_cell_angle_gamma 29.38
loop_
_symmetry_equiv_pos_as_xyz
'x,y,z'
loop_
_atom_site_label
_atom_site_type_symbol
_atom_site_fract_x
_atom_site_fract_y
_atom_site_fract_z
_atom_site_occupancy
Pa1 Pa 0.073 0.073 0.190 1
Pa2 Pa 0.340 0.340 0.417 1
Pa3 Pa 0.660 0.660 0.583 1
Pa4 Pa 0.927 0.927 0.810 1
Te1 Te 0.000 0.000 0.500 1
Te2 Te 0.405 0.405 0.099 1
Te3 Te 0.595 0.595 0.901 1
Se1 Se 0.285 0.285 0.720 1
Se2 Se 0.715 0.715 0.280 1
```

Calculated volume = 28.23 A^3/atom

***

First-principles (PBE) data for a relaxed structure of Pa4Te3Se4, as listed in Alexandria via LeMat-Bulk.

```
data_Pa4Te3Se4
_symmetry_space_group_name_H-M 'P 1'
_symmetry_Int_Tables_number 1
_cell_length_a 9.610
_cell_length_b 9.610
_cell_length_c 9.610
_cell_angle_alpha 155.50
_cell_angle_beta 126.82
_cell_angle_gamma 59.38
loop_
_symmetry_equiv_pos_as_xyz
'x,y,z'
loop_
_atom_site_label
_atom_site_type_symbol
_atom_site_fract_x
_atom_site_fract_y
_atom_site_fract_z
_atom_site_occupancy
Pa1 Pa 0.248 0.248 0.000 1
Pa2 Pa 0.280 0.500 0.780 1
Pa3 Pa 0.720 0.500 0.220 1
Pa4 Pa 0.752 0.752 0.000 1
Te1 Te 0.000 0.000 0.000 1
Te2 Te 0.401 0.901 0.500 1
Te3 Te 0.599 0.099 0.500 1
Se1 Se 0.024 0.330 0.694 1
Se2 Se 0.364 0.670 0.694 1
Se3 Se 0.636 0.330 0.306 1
Se4 Se 0.976 0.670 0.306 1
```

Calculated volume = 26.62 A^3/atom

***

First-principles (PBE) data for a relaxed structure of PaTlTeSe, as listed in Alexandria via LeMat-Bulk.

```
data_PaTlTeSe
_symmetry_space_group_name_H-M 'P 1'
_symmetry_Int_Tables_number 1
_cell_length_a 8.971
_cell_length_b 8.971
_cell_length_c 8.971
_cell_angle_alpha 26.56
_cell_angle_beta 26.56
_cell_angle_gamma 26.56
loop_
_symmetry_equiv_pos_as_xyz
'x,y,z'
loop_
_atom_site_label
_atom_site_type_symbol
_atom_site_fract_x
_atom_site_fract_y
_atom_site_fract_z
_atom_site_occupancy
Pa1 Pa 0.000 0.000 0.000 1
Tl1 Tl 0.841 0.841 0.841 1
Te1 Te 0.410 0.410 0.410 1
Se1 Se 0.602 0.602 0.602 1
```

Calculated volume = 31.80 A^3/atom

***

First-principles (PBE) data for a relaxed structure of PaTl2Te2Se6, as listed in Alexandria via LeMat-Bulk.

```
data_PaTl2Te2Se6
_symmetry_space_group_name_H-M 'P 1'
_symmetry_Int_Tables_number 1
_cell_length_a 8.190
_cell_length_b 8.190
_cell_length_c 8.292
_cell_angle_alpha 118.34
_cell_angle_beta 118.34
_cell_angle_gamma 53.75
loop_
_symmetry_equiv_pos_as_xyz
'x,y,z'
loop_
_atom_site_label
_atom_site_type_symbol
_atom_site_fract_x
_atom_site_fract_y
_atom_site_fract_z
_atom_site_occupancy
Pa1 Pa 0.000 0.000 0.000 1
Tl1 Tl 0.237 0.237 0.731 1
Tl2 Tl 0.763 0.763 0.269 1
Te1 Te 0.463 0.463 0.676 1
Te2 Te 0.537 0.537 0.324 1
Se1 Se 0.153 0.648 0.125 1
Se2 Se 0.200 0.200 0.304 1
Se3 Se 0.352 0.847 0.875 1
Se4 Se 0.648 0.153 0.125 1
Se5 Se 0.800 0.800 0.696 1
Se6 Se 0.847 0.352 0.875 1
```

Calculated volume = 34.53 A^3/atom

***

First-principles (PBE) data for a relaxed structure of PaTl2TeSe4, as listed in Alexandria via LeMat-Bulk.

```
data_PaTl2TeSe4
_symmetry_space_group_name_H-M 'P 1'
_symmetry_Int_Tables_number 1
_cell_length_a 8.199
_cell_length_b 4.162
_cell_length_c 8.633
_cell_angle_alpha 90.00
_cell_angle_beta 115.57
_cell_angle_gamma 90.00
loop_
_symmetry_equiv_pos_as_xyz
'x,y,z'
loop_
_atom_site_label
_atom_site_type_symbol
_atom_site_fract_x
_atom_site_fract_y
_atom_site_fract_z
_atom_site_occupancy
Pa1 Pa 0.000 0.000 0.000 1
Tl1 Tl 0.000 0.000 0.500 1
Tl2 Tl 0.500 0.500 0.000 1
Te1 Te 0.500 0.500 0.500 1
Se1 Se 0.067 0.500 0.814 1
Se2 Se 0.378 0.000 0.242 1
Se3 Se 0.622 0.000 0.758 1
Se4 Se 0.933 0.500 0.186 1
```

Calculated volume = 33.22 A^3/atom

***

First-principles (PBE) data for a relaxed structure of U2Pa2Te2Se5, as listed in Alexandria via LeMat-Bulk.

```
data_U2Pa2Te2Se5
_symmetry_space_group_name_H-M 'P 1'
_symmetry_Int_Tables_number 1
_cell_length_a 13.515
_cell_length_b 13.515
_cell_length_c 13.515
_cell_angle_alpha 156.57
_cell_angle_beta 156.57
_cell_angle_gamma 33.38
loop_
_symmetry_equiv_pos_as_xyz
'x,y,z'
loop_
_atom_site_label
_atom_site_type_symbol
_atom_site_fract_x
_atom_site_fract_y
_atom_site_fract_z
_atom_site_occupancy
U1 U 0.162 0.162 0.000 1
U2 U 0.838 0.838 0.000 1
Pa1 Pa 0.395 0.395 0.000 1
Pa2 Pa 0.605 0.605 0.000 1
Te1 Te 0.280 0.280 0.000 1
Te2 Te 0.720 0.720 0.000 1
Se1 Se 0.114 0.614 0.500 1
Se2 Se 0.386 0.886 0.500 1
Se3 Se 0.500 0.500 0.000 1
Se4 Se 0.614 0.114 0.500 1
Se5 Se 0.886 0.386 0.500 1
```

Calculated volume = 35.46 A^3/atom

***

First-principles (PBE) data for a relaxed structure of YPaTe2Se, as listed in Alexandria via LeMat-Bulk.

```
data_YPaTe2Se
_symmetry_space_group_name_H-M 'P 1'
_symmetry_Int_Tables_number 1
_cell_length_a 4.369
_cell_length_b 4.369
_cell_length_c 14.824
_cell_angle_alpha 90.00
_cell_angle_beta 90.00
_cell_angle_gamma 90.00
loop_
_symmetry_equiv_pos_as_xyz
'x,y,z'
loop_
_atom_site_label
_atom_site_type_symbol
_atom_site_fract_x
_atom_site_fract_y
_atom_site_fract_z
_atom_site_occupancy
Y1 Y 0.250 0.250 0.085 1
Y2 Y 0.750 0.750 0.915 1
Pa1 Pa 0.250 0.250 0.630 1
Pa2 Pa 0.750 0.750 0.370 1
Te1 Te 0.250 0.250 0.296 1
Te2 Te 0.250 0.250 0.875 1
Te3 Te 0.750 0.750 0.125 1
Te4 Te 0.750 0.750 0.704 1
Se1 Se 0.250 0.750 0.500 1
Se2 Se 0.750 0.250 0.500 1
```

Calculated volume = 28.30 A^3/atom

***

E_tot for the records above, in order: -6.316 -6.437 -6.125 -5.466 -6.435 -6.979 -6.713 -5.394 -4.211 -4.546 -6.825 -6.300 eV/atom